# TaV2In (PBE-GGA, relaxed)
# mass density = 9.111 g/cm3
# electronic total energy = -7.408 eV per atom
# formation enthalpy at 0 K = 799 meV per atom
data_TaV2In
_cell_length_a 7.222
_cell_length_b 7.222
_cell_length_c 5.558
_cell_angle_alpha 90.00
_cell_angle_beta 90.00
_cell_angle_gamma 90.00
_space_group_name_H-M_alt 'I -4 2 d'
_space_group_IT_number 122
_space_group_name_Hall 'I -4 2bw'
loop_
_atom_site_label
_atom_site_fract_x
_atom_site_fract_y
_atom_site_fract_z
Ta1 0.000 0.000 0.000
V1 0.232 0.250 0.125
In1 0.000 0.000 0.500



# TaInW3 (PBE-GGA, relaxed)
# mass density = 12.588 g/cm3
# electronic total energy = -8.538 eV per atom
# ΔE to the lowest computed polymorph = 0.0 meV/atom
# formation enthalpy at 0 K = 2152 meV per atom
data_TaInW3
_cell_length_a 4.817
_cell_length_b 4.817
_cell_length_c 4.817
_cell_angle_alpha 90.00
_cell_angle_beta 90.00
_cell_angle_gamma 90.00
_space_group_name_H-M_alt 'P m -3 m'
_space_group_IT_number 221
_space_group_name_Hall '-P 4 2 3'
loop_
_atom_site_label
_atom_site_fract_x
_atom_site_fract_y
_atom_site_fract_z
Ta1 0.000 0.000 0.000
In1 0.500 0.500 0.500
W1 0.000 0.000 0.500



# Ta2InW2 (PBE-GGA, relaxed)
# mass density = 13.940 g/cm3
# electronic total energy = -9.664 eV per atom
# formation enthalpy at 0 K = 806 meV per atom
data_Ta2InW2
_cell_length_a 3.800
_cell_length_b 3.800
_cell_length_c 13.930
_cell_angle_alpha 90.00
_cell_angle_beta 90.00
_cell_angle_gamma 90.00
_space_group_name_H-M_alt 'I 4/m m m'
_space_group_IT_number 139
_space_group_name_Hall '-I 4 2'
loop_
_atom_site_label
_atom_site_fract_x
_atom_site_fract_y
_atom_site_fract_z
Ta1 0.000 0.000 0.104
In1 0.000 0.000 0.500
W1 0.000 0.500 0.250



# TaInW3 (PBE-GGA, relaxed)
# mass density = 12.767 g/cm3
# electronic total energy = -7.870 eV per atom
# ΔE to the lowest computed polymorph = 668.1 meV/atom
# formation enthalpy at 0 K = 2820 meV per atom
data_TaInW3
_cell_length_a 4.794
_cell_length_b 4.794
_cell_length_c 4.794
_cell_angle_alpha 90.00
_cell_angle_beta 90.00
_cell_angle_gamma 90.00
_space_group_name_H-M_alt 'P m -3 m'
_space_group_IT_number 221
_space_group_name_Hall '-P 4 2 3'
loop_
_atom_site_label
_atom_site_fract_x
_atom_site_fract_y
_atom_site_fract_z
Ta1 0.000 0.000 0.000
In1 0.500 0.500 0.500
W1 0.000 0.500 0.500



# Y2TaIn (PBE-GGA, relaxed)
# mass density = 7.885 g/cm3
# electronic total energy = -6.767 eV per atom
# formation enthalpy at 0 K = 113 meV per atom
data_Y2TaIn
_cell_length_a 6.966
_cell_length_b 8.802
_cell_length_c 3.254
_cell_angle_alpha 90.00
_cell_angle_beta 90.00
_cell_angle_gamma 90.00
_space_group_name_H-M_alt 'C m m m'
_space_group_IT_number 65
_space_group_name_Hall '-C 2 2'
loop_
_atom_site_label
_atom_site_fract_x
_atom_site_fract_y
_atom_site_fract_z
Y1 0.250 0.250 0.000
Ta1 0.000 0.000 0.500
In1 0.000 0.500 0.500



# Y2TaIn (PBE-GGA, relaxed)
# mass density = 8.167 g/cm3
# electronic total energy = -6.644 eV per atom
# formation enthalpy at 0 K = 236 meV per atom
data_Y2TaIn
_cell_length_a 7.276
_cell_length_b 7.276
_cell_length_c 7.276
_cell_angle_alpha 90.00
_cell_angle_beta 90.00
_cell_angle_gamma 90.00
_space_group_name_H-M_alt 'F -4 3 m'
_space_group_IT_number 216
_space_group_name_Hall 'F -4 2 3'
loop_
_atom_site_label
_atom_site_fract_x
_atom_site_fract_y
_atom_site_fract_z
Y1 0.000 0.000 0.000
Y2 0.250 0.250 0.250
Ta1 0.250 0.250 0.750
In1 0.000 0.000 0.500



# Y2TaIn (PBE-GGA, relaxed)
# mass density = 7.909 g/cm3
# electronic total energy = -6.885 eV per atom
# formation enthalpy at 0 K = -5 meV per atom
data_Y2TaIn
_cell_length_a 3.218
_cell_length_b 3.218
_cell_length_c 9.601
_cell_angle_alpha 90.00
_cell_angle_beta 90.00
_cell_angle_gamma 90.00
_space_group_name_H-M_alt 'P 4/m m m'
_space_group_IT_number 123
_space_group_name_Hall '-P 4 2'
loop_
_atom_site_label
_atom_site_fract_x
_atom_site_fract_y
_atom_site_fract_z
Y1 0.000 0.000 0.238
Ta1 0.500 0.500 0.000
In1 0.500 0.500 0.500



# Y2TaIn (PBE-GGA, relaxed)
# mass density = 7.475 g/cm3
# electronic total energy = -6.331 eV per atom
# formation enthalpy at 0 K = 548 meV per atom
data_Y2TaIn
_cell_length_a 8.258
_cell_length_b 8.258
_cell_length_c 6.171
_cell_angle_alpha 90.00
_cell_angle_beta 90.00
_cell_angle_gamma 90.00
_space_group_name_H-M_alt 'I -4 2 d'
_space_group_IT_number 122
_space_group_name_Hall 'I -4 2bw'
loop_
_atom_site_label
_atom_site_fract_x
_atom_site_fract_y
_atom_site_fract_z
Y1 0.247 0.250 0.125
Ta1 0.000 0.000 0.000
In1 0.000 0.000 0.500



# Y2TaIn (PBE-GGA, relaxed)
# mass density = 7.866 g/cm3
# electronic total energy = -6.647 eV per atom
# formation enthalpy at 0 K = 233 meV per atom
data_Y2TaIn
_cell_length_a 10.681
_cell_length_b 3.277
_cell_length_c 5.826
_cell_angle_alpha 90.00
_cell_angle_beta 101.30
_cell_angle_gamma 90.00
_space_group_name_H-M_alt 'C 1 2/m 1'
_space_group_IT_number 12
loop_
_space_group_symop_operation_xyz
'x,y,z'
'-x,-y,-z'
'-x,y,-z'
'x,-y,z'
'x+1/2,y+1/2,z'
'-x+1/2,-y+1/2,-z'
'-x+1/2,y+1/2,-z'
'x+1/2,-y+1/2,z'
loop_
_atom_site_label
_atom_site_fract_x
_atom_site_fract_y
_atom_site_fract_z
Y1 0.247 0.000 0.246
Ta1 0.000 0.500 0.000
In1 0.000 0.000 0.500



# Y2TaIn (PBE-GGA, relaxed)
# mass density = 7.700 g/cm3
# electronic total energy = -6.661 eV per atom
# formation enthalpy at 0 K = 219 meV per atom
data_Y2TaIn
_cell_length_a 3.3202
_cell_length_b 3.3202
_cell_length_c 32.0912
_cell_angle_alpha 90.00
_cell_angle_beta 90.00
_cell_angle_gamma 120.00
_space_group_name_H-M_alt 'R 3 m'
_space_group_IT_number 160
_space_group_name_Hall 'R 3 -2"'
loop_
_atom_site_label
_atom_site_fract_x
_atom_site_fract_y
_atom_site_fract_z
Y1 0.0000 0.0000 0.0000
Y2 0.0000 0.0000 0.2356
Ta1 0.0000 0.0000 0.4923
In1 0.0000 0.0000 0.7513



# Y2TaIn (PBE-GGA, relaxed)
# mass density = 7.783 g/cm3
# electronic total energy = -6.734 eV per atom
# formation enthalpy at 0 K = 145 meV per atom
data_Y2TaIn
_cell_length_a 3.299
_cell_length_b 4.101
_cell_length_c 7.469
_cell_angle_alpha 90.00
_cell_angle_beta 90.00
_cell_angle_gamma 90.00
_space_group_name_H-M_alt 'P m m 2'
_space_group_IT_number 25
loop_
_space_group_symop_operation_xyz
'x,y,z'
'-x,-y,z'
'-x,y,z'
'x,-y,z'
loop_
_atom_site_label
_atom_site_fract_x
_atom_site_fract_y
_atom_site_fract_z
Y1 0.000 0.000 0.000
Y2 0.500 0.500 0.317
Ta1 0.500 0.500 0.760
In1 0.000 0.000 0.565



# Y2TaIn (PBE-GGA, relaxed)
# mass density = 8.017 g/cm3
# electronic total energy = -6.793 eV per atom
# formation enthalpy at 0 K = 87 meV per atom
data_Y2TaIn
_cell_length_a 4.669
_cell_length_b 4.669
_cell_length_c 4.500
_cell_angle_alpha 90.00
_cell_angle_beta 90.00
_cell_angle_gamma 90.00
_space_group_name_H-M_alt 'P 4/m m m'
_space_group_IT_number 123
_space_group_name_Hall '-P 4 2'
loop_
_atom_site_label
_atom_site_fract_x
_atom_site_fract_y
_atom_site_fract_z
Y1 0.000 0.500 0.000
Ta1 0.000 0.000 0.500
In1 0.500 0.500 0.500



# YTaIn (PBE-GGA, relaxed)
# mass density = 9.156 g/cm3
# electronic total energy = -6.888 eV per atom
# ΔE to the lowest computed polymorph = 46.8 meV/atom
# formation enthalpy at 0 K = 131 meV per atom
data_YTaIn
_cell_length_a 3.271
_cell_length_b 4.035
_cell_length_c 10.572
_cell_angle_alpha 90.00
_cell_angle_beta 90.00
_cell_angle_gamma 90.00
_space_group_name_H-M_alt 'I m m 2'
_space_group_IT_number 44
loop_
_space_group_symop_operation_xyz
'x,y,z'
'-x,-y,z'
'-x,y,z'
'x,-y,z'
'x+1/2,y+1/2,z+1/2'
'-x+1/2,-y+1/2,z+1/2'
'-x+1/2,y+1/2,z+1/2'
'x+1/2,-y+1/2,z+1/2'
loop_
_atom_site_label
_atom_site_fract_x
_atom_site_fract_y
_atom_site_fract_z
Y1 0.000 0.000 0.000
Ta1 0.000 0.000 0.325
In1 0.000 0.000 0.687



# YTaIn (PBE-GGA, relaxed)
# mass density = 7.292 g/cm3
# electronic total energy = -5.890 eV per atom
# ΔE to the lowest computed polymorph = 1044.8 meV/atom
# formation enthalpy at 0 K = 1129 meV per atom
data_YTaIn
_cell_length_a 7.050
_cell_length_b 7.050
_cell_length_c 7.050
_cell_angle_alpha 90.00
_cell_angle_beta 90.00
_cell_angle_gamma 90.00
_space_group_name_H-M_alt 'F -4 3 m'
_space_group_IT_number 216
_space_group_name_Hall 'F -4 2 3'
loop_
_atom_site_label
_atom_site_fract_x
_atom_site_fract_y
_atom_site_fract_z
Y1 0.000 0.000 0.000
Ta1 0.250 0.250 0.750
In1 0.250 0.250 0.250



# Y2TaIn (PBE-GGA, relaxed)
# mass density = 7.953 g/cm3
# electronic total energy = -6.628 eV per atom
# formation enthalpy at 0 K = 252 meV per atom
data_Y2TaIn
_cell_length_a 3.412
_cell_length_b 5.414
_cell_length_c 10.706
_cell_angle_alpha 90.00
_cell_angle_beta 90.00
_cell_angle_gamma 90.00
_space_group_name_H-M_alt 'I m m m'
_space_group_IT_number 71
_space_group_name_Hall '-I 2 2'
loop_
_atom_site_label
_atom_site_fract_x
_atom_site_fract_y
_atom_site_fract_z
Y1 0.000 0.000 0.242
Ta1 0.000 0.500 0.500
In1 0.000 0.500 0.000



# YTaIn (PBE-GGA, relaxed)
# mass density = 9.010 g/cm3
# electronic total energy = -6.812 eV per atom
# ΔE to the lowest computed polymorph = 122.0 meV/atom
# formation enthalpy at 0 K = 206 meV per atom
data_YTaIn
_cell_length_a 3.2769
_cell_length_b 3.2769
_cell_length_c 7.6233
_cell_angle_alpha 90.00
_cell_angle_beta 90.00
_cell_angle_gamma 120.00
_space_group_name_H-M_alt 'P 3 m 1'
_space_group_IT_number 156
loop_
_space_group_symop_operation_xyz
'x,y,z'
'-y,x-y,z'
'-x+y,-x,z'
'-y,-x,z'
'-x+y,y,z'
'x,x-y,z'
loop_
_atom_site_label
_atom_site_fract_x
_atom_site_fract_y
_atom_site_fract_z
Y1 0.0000 0.0000 0.0000
Ta1 0.6667 0.3333 0.6750
In1 0.3333 0.6667 0.3610



# YTaIn4 (PBE-GGA, relaxed)
# mass density = 8.806 g/cm3
# electronic total energy = -4.705 eV per atom
# formation enthalpy at 0 K = 174 meV per atom
data_YTaIn4
_cell_length_a 8.193
_cell_length_b 8.193
_cell_length_c 8.193
_cell_angle_alpha 90.00
_cell_angle_beta 90.00
_cell_angle_gamma 90.00
_space_group_name_H-M_alt 'F -4 3 m'
_space_group_IT_number 216
_space_group_name_Hall 'F -4 2 3'
loop_
_atom_site_label
_atom_site_fract_x
_atom_site_fract_y
_atom_site_fract_z
Y1 0.000 0.000 0.000
Ta1 0.250 0.250 0.250
In1 0.125 0.125 0.625



# Y2TaIn (PBE-GGA, relaxed)
# mass density = 7.759 g/cm3
# electronic total energy = -6.772 eV per atom
# formation enthalpy at 0 K = 107 meV per atom
data_Y2TaIn
_cell_length_a 3.238
_cell_length_b 3.238
_cell_length_c 9.669
_cell_angle_alpha 90.00
_cell_angle_beta 90.00
_cell_angle_gamma 90.00
_space_group_name_H-M_alt 'P 4 m m'
_space_group_IT_number 99
loop_
_space_group_symop_operation_xyz
'x,y,z'
'-y,x,z'
'-x,-y,z'
'y,-x,z'
'-x,y,z'
'y,x,z'
'x,-y,z'
'-y,-x,z'
loop_
_atom_site_label
_atom_site_fract_x
_atom_site_fract_y
_atom_site_fract_z
Y1 0.000 0.000 0.000
Y2 0.500 0.500 0.318
Ta1 0.500 0.500 0.768
In1 0.000 0.000 0.557



# YTaIn3 (PBE-GGA, relaxed)
# mass density = 6.816 g/cm3
# electronic total energy = -4.893 eV per atom
# ΔE to the lowest computed polymorph = 0.0 meV/atom
# formation enthalpy at 0 K = 413 meV per atom
data_YTaIn3
_cell_length_a 5.309
_cell_length_b 5.309
_cell_length_c 5.309
_cell_angle_alpha 90.00
_cell_angle_beta 90.00
_cell_angle_gamma 90.00
_space_group_name_H-M_alt 'P m -3 m'
_space_group_IT_number 221
_space_group_name_Hall '-P 4 2 3'
loop_
_atom_site_label
_atom_site_fract_x
_atom_site_fract_y
_atom_site_fract_z
Y1 0.000 0.000 0.000
Ta1 0.500 0.500 0.500
In1 0.000 0.500 0.500



# YTaIn (PBE-GGA, relaxed)
# mass density = 9.334 g/cm3
# electronic total energy = -6.934 eV per atom
# ΔE to the lowest computed polymorph = 0.0 meV/atom
# formation enthalpy at 0 K = 84 meV per atom
data_YTaIn
_cell_length_a 3.096
_cell_length_b 3.096
_cell_length_c 14.282
_cell_angle_alpha 90.00
_cell_angle_beta 90.00
_cell_angle_gamma 90.00
_space_group_name_H-M_alt 'I 4 m m'
_space_group_IT_number 107
_space_group_name_Hall 'I 4 -2'
loop_
_atom_site_label
_atom_site_fract_x
_atom_site_fract_y
_atom_site_fract_z
Y1 0.000 0.000 0.000
Ta1 0.000 0.000 0.332
In1 0.000 0.000 0.679